The following is a PBE calculation of crystalline LaTb2Th at its relaxed geometry, from Alexandria.

Summary:
As for the total magnetization: 0.000 μB per atom. For the final energy, the calculation gives -21.51 eV/cell. The value obtained for the density of states at the Fermi level is 1.422 states/eV per atom.

Unit cell a=3.6385 b=3.6385 c=11.6437 alpha=81.01 beta=81.01 gamma=60.00
With the nearest neighbours (Å) after each atom.
Atoms (fractional coordinates):
La1 0.5004 0.5004 0.4988  6 Tb 3.62-3.65, 6 La 3.64
Tb1 0.0801 0.0801 0.7598  3 Th 3.46, 6 Tb 3.64, 3 La 3.65
Tb2 0.2529 0.2529 0.2412  3 Th 3.47, 3 La 3.62, 6 Tb 3.64
Th1 0.6666 0.6666 0.0001  6 Tb 3.46-3.47, 6 Th 3.64